1.
The following is a DFT calculation (PBE) of a relaxed structure of BaCd2Fe.

Computed properties:
formation energy: 412 meV per atom
density of states at the Fermi level: 2.30 states/eV per atom
calculated volume: 105.98 Å³/cell

Geometry as CIF:
```
data_BaCd2Fe
_chemical_formula_sum 'Ba1 Cd2 Fe1'
_symmetry_space_group_name_H-M 'P 1'
_symmetry_Int_Tables_number 1
_cell_length_a 5.3118
_cell_length_b 5.3118
_cell_length_c 5.3118
_cell_angle_alpha 60.00
_cell_angle_beta 60.00
_cell_angle_gamma 60.00
loop_
_symmetry_equiv_pos_as_xyz
'x,y,z'
loop_
_atom_site_label
_atom_site_fract_x
_atom_site_fract_y
_atom_site_fract_z
_atom_site_occupancy
Fe1 0.7500 0.7500 0.7500 1
Cd1 0.2500 0.2500 0.2500 1
Cd2 0.0000 0.0000 0.0000 1
Ba1 0.5000 0.5000 0.5000 1
```

=====

2.
The following is a DFT calculation (PBE) of a relaxed structure of BaCdFe2.

Computed properties:
formation energy: 805 meV per atom
density of states at the Fermi level: 0.58 states/eV per atom
calculated volume: 93.53 Å³/cell

Geometry as CIF:
```
data_BaCdFe2
_chemical_formula_sum 'Ba1 Cd1 Fe2'
_symmetry_space_group_name_H-M 'P 1'
_symmetry_Int_Tables_number 1
_cell_length_a 5.0950
_cell_length_b 5.0950
_cell_length_c 5.0950
_cell_angle_alpha 60.00
_cell_angle_beta 60.00
_cell_angle_gamma 60.00
loop_
_symmetry_equiv_pos_as_xyz
'x,y,z'
loop_
_atom_site_label
_atom_site_fract_x
_atom_site_fract_y
_atom_site_fract_z
_atom_site_occupancy
Fe1 0.0000 0.0000 0.0000 1
Fe2 0.2500 0.2500 0.2500 1
Cd1 0.7500 0.7500 0.7500 1
Ba1 0.5000 0.5000 0.5000 1
```